[1]
A plane-wave DFT calculation with PBEsol was carried out for a relaxed TaSb3F crystal. Values from VASP.

Geometry as Quantum ESPRESSO input:
```
&SYSTEM
  ibrav = 0, nat = 5, ntyp = 3
/
ATOMIC_SPECIES
Ta 180.95 Ta.upf
Sb 121.76 Sb.upf
F 19.00 F.upf
ATOMIC_POSITIONS crystal
Ta 0.0000 0.0000 0.0000
Sb 0.0000 0.0000 0.5000
Sb 0.0000 0.5000 0.0000
Sb 0.5000 0.0000 0.0000
F 0.5000 0.5000 0.5000
CELL_PARAMETERS angstrom
5.2132 0.0000 0.0000
0.0000 5.2132 0.0000
0.0000 0.0000 5.2132
```

Calculated values
As for the calculated density: 6.6 Mg/m³. The total energy is -5.5817 eV/atom.


[2]
A plane-wave DFT calculation with PBEsol was carried out for a relaxed TcSbF3 crystal. Values from VASP.

Geometry as Quantum ESPRESSO input:
```
&SYSTEM
  ibrav = 0, nat = 5, ntyp = 3
/
ATOMIC_SPECIES
Tc 98.00 Tc.upf
Sb 121.76 Sb.upf
F 19.00 F.upf
ATOMIC_POSITIONS crystal
Tc 0.0000 0.0000 0.0000
Sb 0.5000 0.5000 0.5000
F 0.0000 0.5000 0.5000
F 0.5000 0.0000 0.5000
F 0.5000 0.5000 0.0000
CELL_PARAMETERS angstrom
4.5048 0.0000 0.0000
0.0000 4.5048 0.0000
0.0000 0.0000 4.5048
```

Calculated values
As for the calculated density: 5.0 Mg/m³. The total energy is -4.7138 eV/atom.


[3]
A plane-wave DFT calculation with PBEsol was carried out for a relaxed ZrTcSb2F crystal. Values from VASP.

Geometry as Quantum ESPRESSO input:
```
&SYSTEM
  ibrav = 0, nat = 5, ntyp = 4
/
ATOMIC_SPECIES
Zr 91.22 Zr.upf
Tc 98.00 Tc.upf
Sb 121.76 Sb.upf
F 19.00 F.upf
ATOMIC_POSITIONS crystal
Zr 0.0000 0.0000 0.0000
Tc 0.5000 0.5000 0.0000
Sb 0.0000 0.5000 0.5000
Sb 0.5000 0.0000 0.5000
F 0.0000 0.0000 0.5000
CELL_PARAMETERS angstrom
4.9189 0.0000 0.0000
0.0000 4.9189 0.0000
0.0000 0.0000 4.0194
```

Calculated values
As for the calculated density: 7.7 Mg/m³. The total energy is -6.2678 eV/atom.


[4]
A plane-wave DFT calculation with PBEsol was carried out for a relaxed TiSbW2F crystal. Values from VASP.

Geometry as Quantum ESPRESSO input:
```
&SYSTEM
  ibrav = 0, nat = 5, ntyp = 4
/
ATOMIC_SPECIES
Ti 47.87 Ti.upf
Sb 121.76 Sb.upf
W 183.84 W.upf
F 19.00 F.upf
ATOMIC_POSITIONS crystal
Ti 0.0000 0.0000 0.0000
Sb 0.5000 0.5000 0.0000
W 0.0000 0.5000 0.5000
W 0.5000 0.0000 0.5000
F 0.0000 0.0000 0.5000
CELL_PARAMETERS angstrom
4.2990 0.0000 0.0000
0.0000 4.2990 0.0000
0.0000 0.0000 4.1330
```

Calculated values
As for the calculated density: 12.1 Mg/m³. The total energy is -8.0683 eV/atom.


[5]
A plane-wave DFT calculation with PBEsol was carried out for a relaxed Sb3WF crystal. Values from VASP.

Geometry as Quantum ESPRESSO input:
```
&SYSTEM
  ibrav = 0, nat = 5, ntyp = 3
/
ATOMIC_SPECIES
Sb 121.76 Sb.upf
W 183.84 W.upf
F 19.00 F.upf
ATOMIC_POSITIONS crystal
Sb 0.0000 0.0000 0.5000
Sb 0.0000 0.5000 0.0000
Sb 0.5000 0.0000 0.0000
W 0.0000 0.0000 0.0000
F 0.5000 0.5000 0.5000
CELL_PARAMETERS angstrom
5.1275 0.0000 0.0000
0.0000 5.1275 0.0000
0.0000 0.0000 5.1275
```

Calculated values
As for the calculated density: 7.0 Mg/m³. The total energy is -5.6717 eV/atom.


[6]
A plane-wave DFT calculation with PBEsol was carried out for a relaxed Y2SbF2 crystal. Values from VASP.

Geometry as Quantum ESPRESSO input:
```
&SYSTEM
  ibrav = 0, nat = 5, ntyp = 3
/
ATOMIC_SPECIES
Y 88.91 Y.upf
Sb 121.76 Sb.upf
F 19.00 F.upf
ATOMIC_POSITIONS crystal
Y 0.2500 0.7500 0.5000
Y 0.7500 0.2500 0.5000
Sb 0.0000 0.0000 0.0000
F 0.3293 0.3293 0.0000
F 0.6707 0.6707 0.0000
CELL_PARAMETERS angstrom
-2.2953 2.2953 4.5453
2.2953 -2.2953 4.5453
2.2953 2.2953 -4.5453
```

Calculated values
As for the calculated density: 5.9 Mg/m³. The total energy is -6.7321 eV/atom.


[7]
A plane-wave DFT calculation with PBEsol was carried out for a relaxed Y5Sb3F crystal. Values from VASP.

Geometry as Quantum ESPRESSO input:
```
&SYSTEM
  ibrav = 0, nat = 18, ntyp = 3
/
ATOMIC_SPECIES
Y 88.91 Y.upf
Sb 121.76 Sb.upf
F 19.00 F.upf
ATOMIC_POSITIONS crystal
Y 0.0000 0.2550 0.2500
Y 0.0000 0.7450 0.7500
Y 0.2550 0.0000 0.2500
Y 0.2550 0.2550 0.7500
Y 0.3333 0.6667 0.0000
Y 0.3333 0.6667 0.5000
Y 0.6667 0.3333 0.0000
Y 0.6667 0.3333 0.5000
Y 0.7450 0.0000 0.7500
Y 0.7450 0.7450 0.2500
Sb 0.0000 0.3882 0.7500
Sb 0.0000 0.6118 0.2500
Sb 0.3882 0.0000 0.7500
Sb 0.3882 0.3882 0.2500
Sb 0.6118 0.0000 0.2500
Sb 0.6118 0.6118 0.7500
F 0.0000 0.0000 0.0000
F 0.0000 0.0000 0.5000
CELL_PARAMETERS angstrom
8.8612 0.0000 0.0000
-4.4306 7.6740 0.0000
0.0000 0.0000 6.1672
```

Calculated values
As for the calculated density: 6.6 Mg/m³. The total energy is -6.9656 eV/atom.


[8]
A plane-wave DFT calculation with PBEsol was carried out for a relaxed ScF3 crystal. Values from VASP.

Geometry as Quantum ESPRESSO input:
```
&SYSTEM
  ibrav = 0, nat = 8, ntyp = 2
/
ATOMIC_SPECIES
Sc 44.96 Sc.upf
F 19.00 F.upf
ATOMIC_POSITIONS crystal
Sc 0.0000 0.0000 0.0000
Sc 0.5000 0.5000 0.5000
F 0.2268 0.7500 0.2732
F 0.2500 0.7268 0.7732
F 0.2732 0.2268 0.7500
F 0.7268 0.7732 0.2500
F 0.7500 0.2732 0.2268
F 0.7732 0.2500 0.7268
CELL_PARAMETERS angstrom
2.8384 1.6387 4.6376
-2.8384 1.6387 4.6376
0.0000 -3.2775 4.6376
```

Calculated values
As for the calculated density: 2.6 Mg/m³. The total energy is -7.0773 eV/atom.


[9]
A plane-wave DFT calculation with PBEsol was carried out for a relaxed ScF3 crystal. Values from VASP.

Geometry as Quantum ESPRESSO input:
```
&SYSTEM
  ibrav = 0, nat = 4, ntyp = 2
/
ATOMIC_SPECIES
Sc 44.96 Sc.upf
F 19.00 F.upf
ATOMIC_POSITIONS crystal
Sc 0.0000 0.0000 0.0000
F 0.0000 0.0000 0.5000
F 0.0000 0.5000 0.0000
F 0.5000 0.0000 0.0000
CELL_PARAMETERS angstrom
4.0233 0.0000 0.0000
0.0000 4.0233 0.0000
0.0000 0.0000 4.0233
```

Calculated values
As for the calculated density: 2.6 Mg/m³. The total energy is -7.0757 eV/atom.


[10]
A plane-wave DFT calculation with PBEsol was carried out for a relaxed ScSeF2 crystal. Values from VASP.

Geometry as Quantum ESPRESSO input:
```
&SYSTEM
  ibrav = 0, nat = 4, ntyp = 3
/
ATOMIC_SPECIES
Sc 44.96 Sc.upf
Se 78.96 Se.upf
F 19.00 F.upf
ATOMIC_POSITIONS crystal
Sc 0.0000 0.0000 0.0000
Se 0.5000 0.5000 0.5000
F 0.2500 0.2500 0.2500
F 0.7500 0.7500 0.7500
CELL_PARAMETERS angstrom
0.0000 2.9924 2.9924
2.9924 0.0000 2.9924
2.9924 2.9924 0.0000
```

Calculated values
As for the calculated density: 5.0 Mg/m³. The total energy is -5.3621 eV/atom.


[11]
A plane-wave DFT calculation with PBEsol was carried out for a relaxed ScSeF3 crystal. Values from VASP.

Geometry as Quantum ESPRESSO input:
```
&SYSTEM
  ibrav = 0, nat = 5, ntyp = 3
/
ATOMIC_SPECIES
Sc 44.96 Sc.upf
Se 78.96 Se.upf
F 19.00 F.upf
ATOMIC_POSITIONS crystal
Sc 0.0000 0.0000 0.0000
Se 0.5000 0.5000 0.5000
F 0.0000 0.0000 0.5000
F 0.0000 0.5000 0.0000
F 0.5000 0.0000 0.0000
CELL_PARAMETERS angstrom
4.1615 0.0000 0.0000
0.0000 4.1615 0.0000
0.0000 0.0000 4.1615
```

Calculated values
As for the calculated density: 4.2 Mg/m³. The total energy is -5.7373 eV/atom.


[12]
A plane-wave DFT calculation with PBEsol was carried out for a relaxed ScSnTeF2 crystal. Values from VASP.

Geometry as Quantum ESPRESSO input:
```
&SYSTEM
  ibrav = 0, nat = 5, ntyp = 4
/
ATOMIC_SPECIES
Sc 44.96 Sc.upf
Sn 118.71 Sn.upf
Te 127.60 Te.upf
F 19.00 F.upf
ATOMIC_POSITIONS crystal
Sc 0.0000 0.0000 0.0000
Sn 0.5000 0.5000 0.0000
Te 0.0000 0.0000 0.5000
F 0.0000 0.5000 0.5000
F 0.5000 0.0000 0.5000
CELL_PARAMETERS angstrom
4.3141 0.0000 0.0000
0.0000 4.3141 0.0000
0.0000 0.0000 5.9201
```

Calculated values
As for the calculated density: 5.0 Mg/m³. The total energy is -4.5760 eV/atom.


Formation energy from raw total energies, respectively: 23.4; -189.4; 5.7; 200.7; 101.2; -1119.6; -1252.4; -1536.2; -1535.6; -688.7; -1201.1; -447.2 kJ/mol of formula units.